[1]
A plane-wave DFT calculation with PBE was carried out for NaC3Se after structural relaxation.

Lattice parameters (Å, degrees): 4.395 4.395 4.395 90.00 90.00 90.00
Positions (direct):
Na (0.000, 0.000, 0.000)
C (0.000, 0.500, 0.000)
C (0.000, 0.000, 0.500)
C (0.500, 0.000, 0.000)
Se (0.500, 0.500, 0.500)

Properties
Space group: No. 221
E_form (uncorrected): 3.848 eV per atom
Density of states at the Fermi level: 0.8565 states/eV per atom
Uncorrected energy: -13.2 eV for the cell shown
Offset from the most stable computed form: 1177.6 meV per atom
Size of the total moment: 0.001 μB per formula unit

=====

[2]
A plane-wave DFT calculation with PBE was carried out for CsCaNdBr6 after structural relaxation.

Lattice parameters (Å, degrees): 7.633 7.633 15.899 90.00 90.00 120.00
Positions (direct):
Cs (0.000, 0.000, 0.000)
Cs (0.000, 0.000, 0.500)
Ca (0.333, 0.667, 0.250)
Ca (0.667, 0.333, 0.750)
Nd (0.667, 0.333, 0.250)
Nd (0.333, 0.667, 0.750)
Br (0.620, 0.619, 0.144)
Br (0.999, 0.380, 0.144)
Br (0.380, 0.999, 0.644)
Br (0.001, 0.620, 0.856)
Br (0.381, 0.380, 0.356)
Br (0.999, 0.619, 0.356)
Br (0.619, 0.999, 0.856)
Br (0.620, 0.001, 0.356)
Br (0.001, 0.381, 0.644)
Br (0.381, 0.001, 0.144)
Br (0.619, 0.620, 0.644)
Br (0.380, 0.381, 0.856)

Properties
Space group: No. 163
E_form (uncorrected): -1.950 eV per atom
Density of states at the Fermi level: 0.0000 states/eV per atom
Uncorrected energy: -70.4 eV for the cell shown
Size of the total moment: 0.000 μB per formula unit

=====

[3]
A plane-wave DFT calculation with PBE was carried out for Ho2ErMg2 after structural relaxation.

Lattice parameters (Å, degrees): 5.369 5.369 6.369 65.07 65.07 60.00
Positions (direct):
Ho (0.714, 0.714, 0.859)
Ho (0.286, 0.286, 0.141)
Er (0.500, 0.500, 0.500)
Mg (0.910, 0.910, 0.270)
Mg (0.090, 0.090, 0.730)

Properties
Space group: No. 166
Density of states at the Fermi level: 1.2769 states/eV per atom
Uncorrected energy: -17.0 eV for the cell shown
DFT formation energy: -0.0238 eV per atom
Offset from the most stable computed form: 37.6 meV per atom
Size of the total moment: 0.000 μB per formula unit

=====

[4]
A plane-wave DFT calculation with PBE was carried out for Tb8Ho2Pu after structural relaxation.

Lattice parameters (Å, degrees): 5.626 10.033 10.033 39.93 92.28 92.28
Last column: magnetic moment on the atom in μB.
Positions (direct):
Tb (0.262, 0.134, 0.604)  0.01
Tb (0.262, 0.604, 0.134)  0.01
Tb (0.738, 0.866, 0.396)  0.01
Tb (0.238, 0.546, 0.546)  0.01
Tb (0.738, 0.396, 0.866)  0.01
Tb (0.237, 0.184, 0.184)  -0.01
Tb (0.763, 0.816, 0.816)  -0.01
Tb (0.762, 0.454, 0.454)  0.01
Ho (0.751, 0.283, 0.283)  -0.13
Ho (0.249, 0.717, 0.717)  -0.13
Pu (0.000, 0.000, 0.000)  5.69

Properties
Space group: No. 12
Density of states at the Fermi level: 2.0758 states/eV per atom
Uncorrected energy: -58.4 eV for the cell shown
DFT formation energy: 0.1948 eV per atom
Offset from the most stable computed form: 32.9 meV per atom
Size of the total moment: 5.935 μB per formula unit

=====

[5]
A plane-wave DFT calculation with PBE was carried out for Ac5PmMg6 after structural relaxation.

Lattice parameters (Å, degrees): 5.762 8.152 9.113 90.00 71.57 90.00
Positions (direct):
Ac (0.669, 0.500, 0.663)
Ac (0.333, 0.000, 0.333)
Ac (0.000, 0.500, 0.000)
Ac (0.667, 0.000, 0.667)
Ac (0.331, 0.500, 0.337)
Mg (0.838, 0.757, 0.324)
Mg (0.838, 0.243, 0.324)
Mg (0.500, 0.239, 0.000)
Mg (0.500, 0.761, 0.000)
Mg (0.162, 0.757, 0.676)
Mg (0.162, 0.243, 0.676)
Pm (0.000, 0.000, 0.000)

Properties
Space group: No. 65
Density of states at the Fermi level: 1.1050 states/eV per atom
Uncorrected energy: -35.8 eV for the cell shown
DFT formation energy: -0.0793 eV per atom
Size of the total moment: 0.000 μB per formula unit

=====

[6]
A plane-wave DFT calculation with PBE was carried out for ScGeSCl2 after structural relaxation.

Lattice parameters (Å, degrees): 4.602 5.947 4.602 90.00 90.00 90.00
Positions (direct):
Sc (0.000, 0.500, 0.000)
Ge (0.000, 0.000, 0.000)
S (0.500, 0.500, 0.500)
Cl (0.000, 0.000, 0.500)
Cl (0.500, 0.000, 0.000)

Properties
Space group: No. 123
E_form (uncorrected): -0.207 eV per atom
Density of states at the Fermi level: 0.4800 states/eV per atom
Uncorrected energy: -19.8 eV for the cell shown
Offset from the most stable computed form: 665.0 meV per atom
Size of the total moment: 0.000 μB per formula unit

=====

[7]
A plane-wave DFT calculation with PBE was carried out for UMoSe4 after structural relaxation.

Lattice parameters (Å, degrees): 7.457 7.457 7.457 104.06 104.06 120.94
Last column: magnetic moment on the atom in μB.
Positions (direct):
U (0.741, 0.741, 0.000)  1.18
U (0.491, 0.991, 0.500)  1.18
Mo (0.257, 0.257, 0.000)  0.74
Mo (0.007, 0.507, 0.500)  0.74
Se (0.235, 0.946, 0.711)  -0.03
Se (0.766, 0.466, 0.700)  -0.06
Se (0.696, 0.485, 0.211)  -0.03
Se (0.216, 0.016, 0.200)  -0.06
Se (0.274, 0.485, 0.789)  -0.03
Se (0.816, 0.016, 0.800)  -0.06
Se (0.766, 0.066, 0.300)  -0.06
Se (0.235, 0.524, 0.289)  -0.03

Properties
Space group: No. 109
E_form (uncorrected): -0.583 eV per atom
Density of states at the Fermi level: 1.3050 states/eV per atom
Uncorrected energy: -79.1 eV for the cell shown
Size of the total moment: 1.882 μB per formula unit

=====

[8]
A plane-wave DFT calculation with PBE was carried out for ScMn2Ru after structural relaxation.

Lattice parameters (Å, degrees): 5.165 5.165 4.277 65.58 65.58 33.83
Last column: magnetic moment on the atom in μB.
Positions (direct):
Mn (0.986, 0.986, 0.014)  1.91
Mn (0.514, 0.514, 0.486)  1.91
Ru (0.250, 0.250, 0.250)  -0.09
Sc (0.750, 0.750, 0.750)  -0.15

Properties
Space group: No. 71
Density of states at the Fermi level: 1.2593 states/eV per atom
Uncorrected energy: -33.8 eV for the cell shown
DFT formation energy: 0.0460 eV per atom
Offset from the most stable computed form: 111.0 meV per atom
Size of the total moment: 3.578 μB per formula unit

=====

[9]
A plane-wave DFT calculation with PBE was carried out for LaTh2Cu after structural relaxation.

Lattice parameters (Å, degrees): 4.705 4.705 6.506 68.80 68.80 60.00
Positions (direct):
Cu (0.000, 0.000, 0.000)
Th (0.268, 0.268, 0.196)
Th (0.732, 0.732, 0.804)
La (0.500, 0.500, 0.500)

Properties
Space group: No. 166
Density of states at the Fermi level: 1.2938 states/eV per atom
Uncorrected energy: -22.7 eV for the cell shown
DFT formation energy: 0.2946 eV per atom
Offset from the most stable computed form: 282.7 meV per atom
Size of the total moment: 0.000 μB per formula unit

=====

[10]
A plane-wave DFT calculation with PBE was carried out for Ba2AsOs after structural relaxation.

Lattice parameters (Å, degrees): 5.856 5.856 3.434 90.01 90.01 100.55
Last column: magnetic moment on the atom in μB.
Positions (direct):
As (0.000, 0.500, 0.500)  0.00
Os (0.500, 0.000, 0.500)  1.06
Ba (0.000, 0.000, 0.000)  -0.02
Ba (0.500, 0.500, 0.000)  -0.02

Properties
Space group: No. 65
Density of states at the Fermi level: 0.8216 states/eV per atom
Uncorrected energy: -18.2 eV for the cell shown
DFT formation energy: 0.3704 eV per atom
Size of the total moment: 1.095 μB per formula unit

=====

[11]
A plane-wave DFT calculation with PBE was carried out for TmZrRu after structural relaxation.

Lattice parameters (Å, degrees): 6.552 6.552 7.973 113.36 113.30 92.07
Positions (direct):
Tm (0.164, 0.089, 0.253)
Tm (0.161, 0.586, 0.247)
Tm (0.414, 0.839, 0.753)
Tm (0.911, 0.836, 0.747)
Zr (0.665, 0.090, 0.255)
Zr (0.415, 0.340, 0.755)
Zr (0.660, 0.585, 0.245)
Zr (0.910, 0.335, 0.745)
Ru (0.551, 0.976, 0.500)
Ru (0.774, 0.699, 0.000)
Ru (0.024, 0.449, 0.500)
Ru (0.301, 0.226, 0.000)

Properties
Space group: No. 70
Density of states at the Fermi level: 0.9803 states/eV per atom
Uncorrected energy: -92.3 eV for the cell shown
DFT formation energy: -0.2601 eV per atom
Offset from the most stable computed form: 65.0 meV per atom
Size of the total moment: 0.000 μB per formula unit

=====

[12]
A plane-wave DFT calculation with PBE was carried out for TaTcMo2 after structural relaxation.

Lattice parameters (Å, degrees): 4.490 4.490 3.181 90.00 90.00 90.00
Positions (direct):
Mo (0.000, 0.000, 0.000)
Mo (0.500, 0.500, 0.000)
Ta (0.500, 0.000, 0.500)
Tc (0.000, 0.500, 0.500)

Properties
Space group: No. 123
Density of states at the Fermi level: 0.6374 states/eV per atom
Uncorrected energy: -44.3 eV for the cell shown
DFT formation energy: -0.0950 eV per atom
Offset from the most stable computed form: 83.0 meV per atom
Size of the total moment: 0.000 μB per formula unit

=====

[13]
A plane-wave DFT calculation with PBE was carried out for Sm2TlPd6 after structural relaxation.

Lattice parameters (Å, degrees): 3.787 8.414 7.726 122.99 104.22 90.00
Positions (direct):
Sm (0.664, 0.662, 0.324)
Sm (0.336, 0.338, 0.676)
Tl (0.000, 0.000, 0.000)
Pd (0.166, 0.404, 0.330)
Pd (0.834, 0.073, 0.670)
Pd (0.834, 0.596, 0.670)
Pd (0.500, 0.248, 0.000)
Pd (0.166, 0.927, 0.330)
Pd (0.500, 0.752, 0.000)

Properties
Space group: No. 12
Density of states at the Fermi level: 0.4026 states/eV per atom
Uncorrected energy: -46.6 eV for the cell shown
DFT formation energy: -0.4085 eV per atom
Size of the total moment: 0.000 μB per formula unit

=====

[14]
A plane-wave DFT calculation with PBE was carried out for CdPAu after structural relaxation.

Lattice parameters (Å, degrees): 3.779 5.770 6.111 78.48 90.00 90.00
Positions (direct):
Cd (0.000, 0.724, 0.143)
Cd (0.000, 0.276, 0.857)
P (0.000, 0.187, 0.460)
P (0.000, 0.813, 0.540)
Au (0.500, 0.704, 0.798)
Au (0.500, 0.296, 0.202)

Properties
Space group: No. 10
Density of states at the Fermi level: 0.1853 states/eV per atom
Uncorrected energy: -19.4 eV for the cell shown
DFT formation energy: -0.0257 eV per atom
Size of the total moment: 0.000 μB per formula unit

=====

[15]
A plane-wave DFT calculation with PBE was carried out for CoNiBr2 after structural relaxation.

Lattice parameters (Å, degrees): 3.708 3.788 6.590 88.15 90.00 90.00
Last column: magnetic moment on the atom in μB.
Positions (direct):
Br (0.000, 0.894, 0.870)  0.12
Br (0.500, 0.360, 0.384)  0.14
Co (0.000, 0.403, 0.633)  1.92
Ni (0.500, 0.844, 0.614)  0.80

Properties
Space group: No. 6
E_form (uncorrected): 0.053 eV per atom
Density of states at the Fermi level: 0.8012 states/eV per atom
Uncorrected energy: -16.0 eV for the cell shown
Offset from the most stable computed form: 0.0 meV per atom
Size of the total moment: 3.000 μB per formula unit

=====

[16]
A plane-wave DFT calculation with PBE was carried out for IrC after structural relaxation.

Lattice parameters (Å, degrees): 2.817 2.817 5.714 90.00 90.00 90.00
Positions (direct):
C (0.000, 0.000, 0.626)
C (0.000, 0.000, 0.374)
Ir (0.500, 0.500, 0.758)
Ir (0.500, 0.500, 0.242)

Properties
Space group: No. 123
Density of states at the Fermi level: 0.3888 states/eV per atom
Uncorrected energy: -33.5 eV for the cell shown
DFT formation energy: 0.6700 eV per atom
Offset from the most stable computed form: 212.3 meV per atom
Size of the total moment: 0.000 μB per formula unit